Entry 1:
Material: MgNi2Os
Method: DFT, GGA-PBEsol
State: relaxed

CIF file:
```
data_MgNi2Os
_space_group_name_H-M_alt 'F -4 3 m'
_space_group_IT_number 216
_space_group_name_Hall 'F -4 2 3'
_cell_length_a 5.859
_cell_length_b 5.859
_cell_length_c 5.859
_cell_angle_alpha 90.00
_cell_angle_beta 90.00
_cell_angle_gamma 90.00
loop_
_atom_site_label
_atom_site_fract_x
_atom_site_fract_y
_atom_site_fract_z
_atom_site_occupancy
Mg1 0.000 0.000 0.000 1
Ni1 0.000 0.000 0.500 1
Ni2 0.250 0.250 0.250 1
Os1 0.250 0.250 0.750 1
```

Computed properties:
* ΔE_f: 32 kJ per mole of atoms
* VASP energy: -99.7 eV for the cell shown

---

Entry 2:
Material: Eu2Ga3Ir
Method: DFT, GGA-PBEsol
State: relaxed

CIF file:
```
data_Eu2Ga3Ir
_space_group_name_H-M_alt 'P 63/m m c'
_space_group_IT_number 194
_space_group_name_Hall '-P 6c 2c'
_cell_length_a 5.5449
_cell_length_b 5.5449
_cell_length_c 8.5948
_cell_angle_alpha 90.00
_cell_angle_beta 90.00
_cell_angle_gamma 120.00
loop_
_atom_site_label
_atom_site_fract_x
_atom_site_fract_y
_atom_site_fract_z
_atom_site_occupancy
Eu1 0.3333 0.6667 0.0539 1
Ga1 0.1619 0.3239 0.7500 1
Ir1 0.0000 0.0000 0.0000 1
```

Computed properties:
* ΔE_f: -66 kJ per mole of atoms
* VASP energy: -90.1 eV for the cell shown

---

Entry 3:
Material: Zr5Ni
Method: DFT, GGA-PBEsol
State: relaxed

CIF file:
```
data_Zr5Ni
_space_group_name_H-M_alt 'P 4/m m m'
_space_group_IT_number 123
_space_group_name_Hall '-P 4 2'
_cell_length_a 3.173
_cell_length_b 3.173
_cell_length_c 11.946
_cell_angle_alpha 90.00
_cell_angle_beta 90.00
_cell_angle_gamma 90.00
loop_
_atom_site_label
_atom_site_fract_x
_atom_site_fract_y
_atom_site_fract_z
_atom_site_occupancy
Zr1 0.000 0.000 0.000 1
Zr2 0.000 0.000 0.367 1
Zr3 0.500 0.500 0.185 1
Ni1 0.500 0.500 0.500 1
```

Computed properties:
* ΔE_f: -12 kJ per mole of atoms
* VASP energy: -52.4 eV for the cell shown